Material: Ac4PmNd5
Method: DFT, GGA-PBE
State: relaxed

Cell: 4.4388 4.4388 19.6854 Å, 90.00 90.00 90.00°
Element x y z (fractional)
Ac  0.0000  0.0000  0.1015
Ac  0.0000  0.0000  0.3042
Ac  0.0000  0.0000  0.6958
Ac  0.0000  0.0000  0.8985
Pm  0.0000  0.0000  0.5000
Nd  0.5000  0.5000  0.0000
Nd  0.5000  0.5000  0.2025
Nd  0.5000  0.5000  0.4085
Nd  0.5000  0.5000  0.5915
Nd  0.5000  0.5000  0.7975

Computed properties:
DOS at the Fermi energy, states/eV/cell: 21.20
Calculated volume, Å³ per cell: 388
Calculated density, g/cm³: 7.6
Formation energy, eV/atom: 0.10

=====

Material: Ac7PmNd2
Method: DFT, GGA-PBE
State: relaxed

Cell: 9.6976 9.6976 6.0799 Å, 90.00 90.00 116.93°
Element x y z (fractional)
Ac  0.0000  0.0000  0.0000
Ac  0.1919  0.4370  0.0000
Ac  0.2570  0.7430  0.5000
Ac  0.4370  0.1919  0.0000
Ac  0.5630  0.8081  0.0000
Ac  0.7430  0.2570  0.5000
Ac  0.8081  0.5630  0.0000
Pm  0.5000  0.5000  0.5000
Nd  0.2007  0.7993  0.0000
Nd  0.7993  0.2007  0.0000

Computed properties:
DOS at the Fermi energy, states/eV/cell: 15.51
Calculated volume, Å³ per cell: 510
Calculated density, g/cm³: 6.6
Formation energy, eV/atom: 0.60

=====

Among the records above, which one has the lowest formation energy? Ac4PmNd5